1.
First-principles (meta-GGA SCAN) data for a crystal of Na2Ni2O5 relaxed with PBEsol, as listed in Alexandria via LeMat-Bulk.

abc: 4.930 6.394 6.962
angles: 110.69 95.72 105.81
Atoms (fractional coordinates):
Na: 0.202 0.393 0.406
Na: 0.552 0.696 0.209
Na: 0.866 0.110 0.598
Na: 0.964 0.498 0.007
Ni: 0.403 0.805 0.802
Ni: 0.998 0.997 0.996
Ni: 0.803 0.602 0.602
Ni: 0.596 0.198 0.197
O: 0.098 0.905 0.730
O: 0.103 0.520 0.710
O: 0.302 0.893 0.069
O: 0.295 0.286 0.093
O: 0.533 0.742 0.553
O: 0.705 0.696 0.872
O: 0.565 0.285 0.476
O: 0.699 0.105 0.926
O: 0.845 0.512 0.321
O: 0.864 0.055 0.243

Values from the calculation:
SG = P1 (1)
raw formation energy = -1327.7 meV per atom
mass density = 4.19 Mg/m³

=====

2.
First-principles (meta-GGA SCAN) data for a crystal of Na4Ni3O7 relaxed with PBEsol, as listed in Alexandria via LeMat-Bulk.

abc: 6.865 6.865 6.865
angles: 69.57 69.57 69.57
Each line ends with the local moment (μB).
Atoms (fractional coordinates):
Na: 0.575 0.158 0.284  0.00
Na: 0.158 0.284 0.575  0.00
Na: 0.716 0.425 0.842  0.00
Na: 0.500 0.500 0.500  0.00
Na: 0.284 0.575 0.158  0.00
Na: 0.842 0.716 0.425  0.00
Na: 0.425 0.842 0.716  0.00
Na: 0.000 0.000 0.000  0.01
Ni: 0.356 0.211 0.931  0.71
Ni: 0.931 0.356 0.211  0.71
Ni: 0.789 0.069 0.644  0.71
Ni: 0.644 0.789 0.069  0.71
Ni: 0.211 0.931 0.356  0.71
Ni: 0.069 0.644 0.789  0.71
O: 0.660 0.082 0.951  0.03
O: 0.492 0.162 0.649  -0.07
O: 0.227 0.227 0.227  -0.04
O: 0.649 0.492 0.162  -0.07
O: 0.351 0.508 0.838  -0.07
O: 0.838 0.351 0.508  -0.07
O: 0.508 0.838 0.351  -0.07
O: 0.773 0.773 0.773  -0.04
O: 0.049 0.340 0.918  0.03
O: 0.162 0.649 0.492  -0.07
O: 0.951 0.660 0.082  0.03
O: 0.340 0.918 0.049  0.03
O: 0.082 0.951 0.660  0.03
O: 0.918 0.049 0.340  0.03

Values from the calculation:
SG = R-3 (148)
raw formation energy = -1448.5 meV per atom
mass density = 4.60 Mg/m³

=====

3.
First-principles (meta-GGA SCAN) data for a crystal of Na2Ni7O14 relaxed with PBEsol, as listed in Alexandria via LeMat-Bulk.

abc: 4.849 6.437 8.978
angles: 100.08 95.16 104.48
Each line ends with the local moment (μB).
Atoms (fractional coordinates):
Na: 0.141 0.781 0.781  0.00
Na: 0.859 0.219 0.219  0.00
Ni: 0.572 0.145 0.642  0.49
Ni: 0.428 0.855 0.358  0.49
Ni: 0.142 0.284 0.786  0.23
Ni: 0.287 0.572 0.072  0.44
Ni: 0.000 0.000 0.500  0.15
Ni: 0.858 0.716 0.214  0.23
Ni: 0.713 0.428 0.928  0.44
O: 0.700 0.120 0.449  -0.03
O: 0.441 0.161 0.833  -0.03
O: 0.410 0.551 0.879  -0.04
O: 0.590 0.449 0.121  -0.04
O: 0.559 0.839 0.167  -0.03
O: 0.268 0.265 0.594  -0.04
O: 0.300 0.880 0.551  -0.03
O: 0.874 0.020 0.692  -0.03
O: 0.845 0.410 0.739  -0.05
O: 0.155 0.590 0.261  -0.05
O: 0.126 0.980 0.308  -0.03
O: 0.732 0.735 0.406  -0.04
O: 0.014 0.306 0.980  -0.02
O: 0.986 0.694 0.020  -0.02

Values from the calculation:
SG = P-1 (2)
raw formation energy = -1207.3 meV per atom
mass density = 4.27 Mg/m³

=====

4.
First-principles (meta-GGA SCAN) data for a crystal of NaNi2P3O10 relaxed with PBEsol, as listed in Alexandria via LeMat-Bulk.

abc: 4.657 8.363 8.917
angles: 90.00 98.05 90.00
Each line ends with the local moment (μB).
Atoms (fractional coordinates):
Na: 0.000 0.000 0.000  0.00
Na: 0.000 0.500 0.000  0.00
Ni: 0.045 0.928 0.344  1.73
Ni: 0.045 0.572 0.344  1.73
Ni: 0.955 0.428 0.656  1.73
Ni: 0.955 0.072 0.656  1.73
P: 0.334 0.750 0.813  0.01
P: 0.391 0.250 0.463  0.01
P: 0.519 0.250 0.844  0.01
P: 0.481 0.750 0.156  0.01
P: 0.609 0.750 0.537  0.01
P: 0.666 0.250 0.187  0.01
O: 0.165 0.903 0.794  0.03
O: 0.165 0.597 0.794  0.03
O: 0.200 0.250 0.768  0.07
O: 0.228 0.404 0.491  0.07
O: 0.228 0.096 0.491  0.07
O: 0.294 0.750 0.456  0.07
O: 0.320 0.903 0.182  0.04
O: 0.320 0.597 0.182  0.04
O: 0.533 0.750 0.977  0.01
O: 0.407 0.250 0.285  0.01
O: 0.593 0.750 0.715  0.01
O: 0.467 0.250 0.023  0.01
O: 0.680 0.097 0.818  0.04
O: 0.680 0.403 0.818  0.04
O: 0.706 0.250 0.544  0.07
O: 0.772 0.904 0.509  0.07
O: 0.772 0.596 0.509  0.07
O: 0.800 0.750 0.232  0.07
O: 0.835 0.403 0.206  0.03
O: 0.835 0.097 0.206  0.03

Values from the calculation:
SG = P2_1/m (11)
raw formation energy = -2217.9 meV per atom
mass density = 3.80 Mg/m³

=====

Per-record DFT total energy, eV per atom: -9.32, -9.23, -10.29, -10.35
Per-record calculated volume, Å³/atom: 10.712, 9.803, 11.500, 10.746